Compound: Be2Re
Source: Alexandria via LeMat-Bulk
Functional: SCAN
Structure: PBEsol geometry

Calculated values
**DFT formation energy**: -120 kJ/mol of formula units
**Density of states at the Fermi level**: 0.333 states/eV per atom
**SG**: Fd-3m
**Distance to the lowest polymorph of the same formula**: 0.19 kcal/mol of atoms

Cell and atoms, written as POSCAR:
```
Be2Re
1.0
-2.920 -1.184 -2.995
1.216 -2.471 -3.364
-1.310 -4.139 -0.242
Re Be
2 4
Direct
0.750 0.750 0.750
0.500 0.500 0.500
0.125 0.125 0.625
0.625 0.125 0.125
0.125 0.125 0.125
0.125 0.625 0.125
```


Compound: Be5Re
Source: Alexandria via LeMat-Bulk
Functional: SCAN
Structure: PBEsol geometry

Calculated values
**DFT formation energy**: -55 kJ/mol of formula units
**Density of states at the Fermi level**: 0.335 states/eV per atom
**SG**: P6/mmm

Cell and atoms, written as POSCAR:
```
Be5Re
1.0
3.331 0.000 0.000
0.000 4.227 0.000
0.000 -2.113 3.661
Re Be
1 5
Direct
0.500 0.000 0.000
0.000 0.500 0.500
0.000 0.500 0.000
0.000 0.000 0.500
0.500 0.333 0.667
0.500 0.667 0.333
```


Compound: Be2Re
Source: Alexandria via LeMat-Bulk
Functional: SCAN
Structure: PBEsol geometry

Calculated values
**DFT formation energy**: -12 kJ/mol of formula units
**Density of states at the Fermi level**: 0.401 states/eV per atom
**SG**: Cmcm
**Distance to the lowest polymorph of the same formula**: 8.77 kcal/mol of atoms

Cell and atoms, written as POSCAR:
```
Be2Re
1.0
3.215 0.000 0.000
0.000 3.218 0.000
-1.608 0.000 5.935
Re Be
2 4
Direct
0.587 0.250 0.175
0.413 0.750 0.825
0.886 0.250 0.771
0.114 0.750 0.229
0.250 0.250 0.500
0.750 0.750 0.500
```


Compound: Be4Re3
Source: Alexandria via LeMat-Bulk
Functional: SCAN
Structure: PBEsol geometry

Calculated values
**DFT formation energy**: 264 kJ/mol of formula units
**Density of states at the Fermi level**: 0.585 states/eV per atom
**SG**: P6/mmm
**Distance to the lowest polymorph of the same formula**: 9.48 kcal/mol of atoms

Cell and atoms, written as POSCAR:
```
Be4Re3
1.0
4.182 0.000 0.000
0.000 4.995 0.000
0.000 -2.498 4.326
Be Re
4 3
Direct
0.772 0.000 0.000
0.228 0.000 0.000
0.500 0.333 0.667
0.500 0.667 0.333
0.000 0.000 0.500
0.000 0.500 0.000
0.000 0.500 0.500
```


Compound: BeRe
Source: Alexandria via LeMat-Bulk
Functional: SCAN
Structure: PBEsol geometry

Calculated values
**DFT formation energy**: 83 kJ/mol of formula units
**Density of states at the Fermi level**: 0.554 states/eV per atom
**SG**: R-3m
**Distance to the lowest polymorph of the same formula**: 14.86 kcal/mol of atoms

Cell and atoms, written as POSCAR:
```
BeRe
1.0
4.122 0.000 0.000
2.061 3.569 0.000
2.061 1.190 3.725
Re Be
2 2
Direct
0.310 0.310 0.071
0.690 0.690 0.929
0.099 0.099 0.703
0.901 0.901 0.297
```


Compound: BeRe2Rh
Source: Alexandria via LeMat-Bulk
Functional: SCAN
Structure: PBEsol geometry

Calculated values
**DFT formation energy**: 19 kJ/mol of formula units
**Density of states at the Fermi level**: 0.551 states/eV per atom
**SG**: Cmm2

Cell and atoms, written as POSCAR:
```
BeRe2Rh
1.0
2.659 -0.010 0.000
-1.085 2.428 0.000
0.000 0.000 8.134
Re Rh Be
2 1 1
Direct
0.000 0.000 0.020
0.500 0.500 0.751
0.000 0.000 0.470
0.500 0.500 0.258
```


Compound: BeReRh2
Source: Alexandria via LeMat-Bulk
Functional: SCAN
Structure: PBEsol geometry

Calculated values
**DFT formation energy**: 37 kJ/mol of formula units
**Density of states at the Fermi level**: 0.733 states/eV per atom
**SG**: Pmmm

Cell and atoms, written as POSCAR:
```
BeReRh2
1.0
-2.212 0.386 -1.517
-0.238 -4.262 -0.737
-2.523 -0.474 3.558
Re Rh Be
1 2 1
Direct
0.000 0.500 0.500
0.000 0.000 0.000
0.500 0.000 0.500
0.500 0.500 0.000
```


Compound: Be2ReRh
Source: Alexandria via LeMat-Bulk
Functional: SCAN
Structure: PBEsol geometry

Calculated values
**DFT formation energy**: -61 kJ/mol of formula units
**Density of states at the Fermi level**: 1.199 states/eV per atom
**SG**: Fm-3m
**Distance to the lowest polymorph of the same formula**: 0.00 kcal/mol of atoms

Cell and atoms, written as POSCAR:
```
Be2ReRh
1.0
-1.821 1.317 -3.239
-0.088 -2.224 -3.254
-3.384 -1.651 -1.168
Re Rh Be
1 1 2
Direct
0.500 0.500 0.500
0.000 0.000 0.000
0.250 0.250 0.250
0.750 0.750 0.750
```


Compound: BeReRh2
Source: Alexandria via LeMat-Bulk
Functional: SCAN
Structure: PBEsol geometry

Calculated values
**DFT formation energy**: -57 kJ/mol of formula units
**Density of states at the Fermi level**: 0.571 states/eV per atom
**SG**: I4/mmm

Cell and atoms, written as POSCAR:
```
BeReRh2
1.0
-1.940 2.421 2.064
-3.173 -1.641 -1.058
2.774 -2.658 2.361
Re Rh Be
1 2 1
Direct
0.000 0.000 0.000
0.750 0.250 0.500
0.250 0.750 0.500
0.500 0.500 0.000
```


Compound: Be2ReRh
Source: Alexandria via LeMat-Bulk
Functional: SCAN
Structure: PBEsol geometry

Calculated values
**DFT formation energy**: -27 kJ/mol of formula units
**Density of states at the Fermi level**: 0.520 states/eV per atom
**SG**: Immm
**Distance to the lowest polymorph of the same formula**: 2.02 kcal/mol of atoms

Cell and atoms, written as POSCAR:
```
Be2ReRh
1.0
2.706 0.000 0.000
0.000 4.485 0.000
-1.353 -2.242 3.856
Re Rh Be
1 1 2
Direct
0.500 0.000 0.000
0.000 0.500 0.000
0.740 0.740 0.480
0.260 0.260 0.520
```


Compound: BeReRh2
Source: Alexandria via LeMat-Bulk
Functional: SCAN
Structure: PBEsol geometry

Calculated values
**DFT formation energy**: -179 kJ/mol of formula units
**Density of states at the Fermi level**: 0.513 states/eV per atom
**SG**: P4/mmm

Cell and atoms, written as POSCAR:
```
BeReRh2
1.0
2.722 0.000 0.000
0.000 2.722 0.000
0.000 0.000 6.560
Re Rh Be
1 2 1
Direct
0.500 0.500 0.500
0.000 0.000 0.784
0.000 0.000 0.216
0.500 0.500 0.000
```


Compound: Be4ReRu
Source: Alexandria via LeMat-Bulk
Functional: SCAN
Structure: PBEsol geometry

Calculated values
**DFT formation energy**: -217 kJ/mol of formula units
**Density of states at the Fermi level**: 0.382 states/eV per atom
**SG**: F-43m

Cell and atoms, written as POSCAR:
```
Be4ReRu
1.0
4.322 0.000 0.000
2.161 3.743 0.000
2.161 1.248 3.529
Re Be Ru
1 4 1
Direct
0.750 0.750 0.750
0.377 0.377 0.377
0.377 0.377 0.870
0.870 0.377 0.377
0.377 0.870 0.377
0.000 0.000 0.000
```


Q: What is the DFT formation energy in the first record?
A: -120 kJ/mol of formula units